# 1
Computed, not measured: a relaxed structure of NaTmPtSe3 at the PBE level of DFT.

Cell: 7.5619 7.5619 10.0985 Å, 90.00 90.00 149.88°
Element x y z (fractional)
Na 0.2305 0.7695 0.2500
Na 0.7695 0.2305 0.7500
Pt 0.5104 0.4896 0.2500
Pt 0.4896 0.5104 0.7500
Se 0.6317 0.3683 0.0734
Se 0.9014 0.0986 0.2500
Se 0.6317 0.3683 0.4266
Se 0.3683 0.6317 0.5734
Se 0.0986 0.9014 0.7500
Se 0.3683 0.6317 0.9266
Tm 0.0000 0.0000 0.0000
Tm 0.0000 0.0000 0.5000

Properties
* magnetization: 0.004 μB per cell
* crystal system: orthorhombic

# 2
Computed, not measured: a relaxed structure of Lu4SbC2Se at the PBE level of DFT.

Cell: 3.6244 3.6244 13.8108 Å, 90.00 90.00 120.00°
Element x y z (fractional)
C 0.3333 0.6667 0.2354
C 0.3333 0.6667 0.7646
Lu 0.0000 0.0000 0.1414
Lu 0.6667 0.3333 0.3258
Lu 0.6667 0.3333 0.6742
Lu 0.0000 0.0000 0.8586
Sb 0.0000 0.0000 0.5000
Se 0.6667 0.3333 0.0000

Properties
* magnetization: 0.001 μB per cell
* crystal system: hexagonal

# 3
Computed, not measured: a relaxed structure of HoNbNi at the PBE level of DFT.

Cell: 4.5135 4.5135 4.5135 Å, 60.00 60.00 60.00°
Element x y z (fractional)
Ho 0.0000 0.0000 0.0000
Nb 0.7500 0.7500 0.7500
Ni 0.2500 0.2500 0.2500

Properties
* magnetization: 1.651 μB per cell
* crystal system: cubic
* ΔE to the lowest computed polymorph: 0.890 eV per atom

# 4
Computed, not measured: a relaxed structure of CsNpTa at the PBE level of DFT.

Cell: 4.9730 4.9730 4.9730 Å, 60.00 60.00 60.00°
Element x y z (fractional)
Cs 0.0000 0.0000 0.0000
Np 0.7500 0.7500 0.7500
Ta 0.2500 0.2500 0.2500

Properties
* magnetization: 5.132 μB per cell
* crystal system: cubic

# 5
Computed, not measured: a relaxed structure of GdSc2Ge4Au4 at the PBE level of DFT.

Cell: 8.2818 8.2818 8.2818 Å, 150.68 129.24 59.70°
Element x y z (fractional)
Au 0.6305 0.3338 0.2967
Au 0.9628 0.6662 0.2967
Au 0.0372 0.3338 0.7033
Au 0.3695 0.6662 0.7033
Gd 0.0000 0.0000 0.0000
Ge 0.2212 0.2212 0.0000
Ge 0.7788 0.7788 0.0000
Ge 0.6779 0.5000 0.1779
Ge 0.3221 0.5000 0.8221
Sc 0.6223 0.1223 0.5000
Sc 0.3777 0.8777 0.5000

Properties
* magnetization: 0.009 μB per cell
* crystal system: orthorhombic

# 6
Computed, not measured: a relaxed structure of PmDyBi at the PBE level of DFT.

Cell: 5.2288 5.2288 5.2288 Å, 60.00 60.00 60.00°
Element x y z (fractional)
Bi 0.0000 0.0000 0.0000
Dy 0.2500 0.2500 0.2500
Pm 0.7500 0.7500 0.7500

Properties
* magnetization: 0.027 μB per cell
* crystal system: cubic
* ΔE to the lowest computed polymorph: 0.000 eV per atom

# 7
Computed, not measured: a relaxed structure of ReTeNO at the PBE level of DFT.

Cell: 3.1817 6.3161 7.5057 Å, 90.00 90.00 90.00°
Element x y z (fractional)
N 0.0000 0.5579 0.2450
N 0.0000 0.4421 0.7449
O 0.5000 0.2973 0.0392
O 0.5000 0.7027 0.5392
Re 0.0000 0.5528 0.4779
Re 0.0000 0.4471 0.9779
Te 0.5000 0.1741 0.4839
Te 0.5000 0.8259 0.9839

Properties
* magnetization: 0.003 μB per cell
* crystal system: orthorhombic
* ΔE to the lowest computed polymorph: 0.061 eV per atom

# 8
Computed, not measured: a relaxed structure of AcAg at the PBE level of DFT.

Cell: 5.0121 5.0121 5.0121 Å, 60.00 60.00 60.00°
Element x y z (fractional)
Ac 0.0000 0.0000 0.0000
Ag 0.2500 0.2500 0.2500

Properties
* magnetization: 0.000 μB per cell
* crystal system: cubic
* ΔE to the lowest computed polymorph: 0.435 eV per atom

# 9
Computed, not measured: a relaxed structure of AcNdNO at the PBE level of DFT.

Cell: 5.2910 7.2118 8.7962 Å, 90.00 90.00 90.00°
Element x y z (fractional)
Ac 0.0503 0.0621 0.1301
Ac 0.5503 0.4379 0.1301
Ac 0.0503 0.5621 0.8699
Ac 0.5503 0.9379 0.8699
N 0.5519 0.5780 0.3850
N 0.0519 0.9220 0.3850
N 0.5519 0.0780 0.6150
N 0.0519 0.4220 0.6150
Nd 0.0510 0.5869 0.3818
Nd 0.5510 0.9131 0.3818
Nd 0.0510 0.0869 0.6182
Nd 0.5510 0.4131 0.6182
O 0.5492 0.0925 0.1479
O 0.0492 0.4075 0.1479
O 0.5492 0.5925 0.8521
O 0.0492 0.9075 0.8521

Properties
* magnetization: 2.095 μB per cell
* crystal system: orthorhombic
* ΔE to the lowest computed polymorph: 0.000 eV per atom

# 10
Computed, not measured: a relaxed structure of Y2HfIn3Ir2 at the PBE level of DFT.

Cell: 3.4866 7.6406 7.6406 Å, 119.48 90.00 90.00°
Element x y z (fractional)
Hf 0.5000 0.4280 0.4280
In 0.0000 0.2342 0.0055
In 0.0000 0.0055 0.2342
In 0.0000 0.7660 0.7660
Ir 0.0000 0.6475 0.3393
Ir 0.0000 0.3393 0.6475
Y 0.5000 0.9992 0.5803
Y 0.5000 0.5803 0.9992

Properties
* magnetization: 0.003 μB per cell
* crystal system: orthorhombic

# 11
Computed, not measured: a relaxed structure of ZrZn2Hg at the PBE level of DFT.

Cell: 4.7068 4.7068 4.7068 Å, 60.00 60.00 60.00°
Element x y z (fractional)
Hg 0.7500 0.7500 0.7500
Zn 0.0000 0.0000 0.0000
Zn 0.2500 0.2500 0.2500
Zr 0.5000 0.5000 0.5000

Properties
* magnetization: 0.003 μB per cell
* crystal system: cubic

# 12
Computed, not measured: a relaxed structure of K2PbAu at the PBE level of DFT.

Cell: 10.2911 10.2911 8.5955 Å, 90.00 90.00 152.41°
Element x y z (fractional)
Au 0.7145 0.2855 0.0000
Au 0.2855 0.7145 0.0000
K 0.8472 0.1528 0.2455
K 0.1528 0.8472 0.2455
K 0.8472 0.1528 0.7545
K 0.1528 0.8472 0.7545
Pb 0.5715 0.4285 0.0000
Pb 0.4285 0.5715 0.0000

Properties
* crystal system: orthorhombic

# 13
Computed, not measured: a relaxed structure of HoMg at the PBE level of DFT.

Cell: 6.0310 13.4339 5.3727 Å, 90.00 90.00 90.00°
Element x y z (fractional)
Ho 0.0012 0.5048 0.0000
Ho 0.5163 0.6233 0.0000
Ho 0.5163 0.8767 0.0000
Ho 0.0012 0.9952 0.0000
Ho 0.3321 0.0049 0.5000
Ho 0.8170 0.1234 0.5000
Ho 0.8170 0.3766 0.5000
Ho 0.3321 0.4951 0.5000
Mg 0.4941 0.1282 0.0000
Mg 0.0195 0.2500 0.0000
Mg 0.4941 0.3718 0.0000
Mg 0.0150 0.7500 0.0000
Mg 0.3183 0.2500 0.5000
Mg 0.8394 0.6282 0.5000
Mg 0.3137 0.7500 0.5000
Mg 0.8394 0.8718 0.5000

Properties
* magnetization: 0.129 μB per cell
* crystal system: orthorhombic

# 14
Computed, not measured: a relaxed structure of RbCuPtSe3 at the PBE level of DFT.

Cell: 10.4852 3.9031 14.2952 Å, 90.00 90.00 90.00°
Element x y z (fractional)
Cu 0.7688 0.0000 0.2033
Cu 0.2688 0.0000 0.2967
Cu 0.7312 0.5000 0.7033
Cu 0.2312 0.5000 0.7967
Pt 0.0129 0.5000 0.2396
Pt 0.5129 0.5000 0.2604
Pt 0.4871 0.0000 0.7396
Pt 0.9871 0.0000 0.7604
Rb 0.2593 0.0000 0.0004
Rb 0.7593 0.0000 0.4995
Rb 0.2407 0.5000 0.5005
Rb 0.7407 0.5000 0.9996
Se 0.9737 0.0000 0.1272
Se 0.5476 0.0000 0.1481
Se 0.2574 0.5000 0.1982
Se 0.7574 0.5000 0.3018
Se 0.0476 0.0000 0.3519
Se 0.4737 0.0000 0.3728
Se 0.5263 0.5000 0.6272
Se 0.9524 0.5000 0.6481
Se 0.2426 0.0000 0.6982
Se 0.7426 0.0000 0.8018
Se 0.4524 0.5000 0.8519
Se 0.0263 0.5000 0.8728

Properties
* magnetization: 0.036 μB per cell
* crystal system: orthorhombic
* ΔE to the lowest computed polymorph: 0.060 eV per atom

# 15
Computed, not measured: a relaxed structure of KTmFeS3 at the PBE level of DFT.

Cell: 8.6963 3.9032 9.2843 Å, 90.00 108.23 90.00°
Element x y z (fractional)
Fe 0.4238 0.7500 0.4064
Fe 0.5762 0.2500 0.5936
K 0.7089 0.2500 0.2363
K 0.2911 0.7500 0.7637
S 0.3873 0.7500 0.1521
S 0.9585 0.7500 0.1556
S 0.2978 0.2500 0.4624
S 0.7022 0.7500 0.5376
S 0.0415 0.2500 0.8444
S 0.6127 0.2500 0.8479
Tm 0.1665 0.2500 0.1457
Tm 0.8335 0.7500 0.8543

Properties
* magnetization: 7.846 μB per cell
* crystal system: monoclinic

# 16
Computed, not measured: a relaxed structure of PrEr2In3AgPt2 at the PBE level of DFT.

Cell: 3.8127 7.8879 7.8879 Å, 120.40 90.00 90.00°
Element x y z (fractional)
Ag 0.0000 0.0025 0.0025
Er 0.0000 0.9996 0.4107
Er 0.0000 0.4107 0.9996
In 0.5000 0.7334 0.0035
In 0.5000 0.2645 0.2645
In 0.5000 0.0035 0.7334
Pr 0.0000 0.5898 0.5898
Pt 0.5000 0.6698 0.3261
Pt 0.5000 0.3261 0.6698

Properties
* magnetization: 0.001 μB per cell
* crystal system: orthorhombic

# 17
Computed, not measured: a relaxed structure of TbTm2Mg3TlGa2 at the PBE level of DFT.

Cell: 4.5293 7.3051 7.3051 Å, 120.30 90.00 90.00°
Element x y z (fractional)
Ga 0.5000 0.6676 0.3314
Ga 0.5000 0.3314 0.6676
Mg 0.5000 0.7495 0.0001
Mg 0.5000 0.2504 0.2504
Mg 0.5000 0.0001 0.7495
Tb 0.0000 0.5617 0.5617
Tl 0.0000 0.0030 0.0030
Tm 0.0000 0.9993 0.4370
Tm 0.0000 0.4370 0.9993

Properties
* magnetization: 0.001 μB per cell
* crystal system: orthorhombic

# 18
Computed, not measured: a relaxed structure of Na3CoCl6 at the PBE level of DFT.

Cell: 6.8700 6.8700 6.8700 Å, 60.00 60.00 60.00°
Element x y z (fractional)
Cl 0.7696 0.2304 0.2304
Cl 0.2304 0.7696 0.2304
Cl 0.7696 0.7696 0.2304
Cl 0.2304 0.2304 0.7696
Cl 0.7696 0.2304 0.7696
Cl 0.2304 0.7696 0.7696
Co 0.0000 0.0000 0.0000
Na 0.2500 0.2500 0.2500
Na 0.5000 0.5000 0.5000
Na 0.7500 0.7500 0.7500

Properties
* magnetization: 0.007 μB per cell
* crystal system: cubic

# 19
Computed, not measured: a relaxed structure of NaNiP2Ir at the PBE level of DFT.

Cell: 5.5349 5.5349 5.5349 Å, 138.34 138.34 60.38°
Element x y z (fractional)
Ir 0.0000 0.0000 0.0000
Na 0.2500 0.7500 0.5000
Ni 0.5000 0.5000 0.0000
P 0.6311 0.1311 0.5000
P 0.8689 0.3689 0.5000

Properties
* magnetization: 0.002 μB per cell
* crystal system: tetragonal

# 20
Computed, not measured: a relaxed structure of Cs2Sn2Pd3S8 at the PBE level of DFT.

Cell: 6.2292 8.8328 8.9280 Å, 97.80 105.42 106.79°
Element x y z (fractional)
Cs 0.5886 0.5043 0.2585
Cs 0.4114 0.4957 0.7415
Pd 0.1819 0.9469 0.0919
Pd 0.5000 0.0000 0.5000
Pd 0.8181 0.0531 0.9081
S 0.9219 0.2952 0.0995
S 0.5180 0.8793 0.2448
S 0.2915 0.1408 0.3292
S 0.1629 0.7640 0.4709
S 0.8371 0.2360 0.5291
S 0.7085 0.8592 0.6708
S 0.4820 0.1207 0.7552
S 0.0781 0.7048 0.9005
Sn 0.8735 0.1162 0.2768
Sn 0.1265 0.8838 0.7232

Properties
* crystal system: triclinic

# 21
Computed, not measured: a relaxed structure of BaPaZn at the PBE level of DFT.

Cell: 5.1667 5.1667 5.1667 Å, 60.00 60.00 60.00°
Element x y z (fractional)
Ba 0.2500 0.2500 0.2500
Pa 0.7500 0.7500 0.7500
Zn 0.0000 0.0000 0.0000

Properties
* magnetization: 1.380 μB per cell
* crystal system: cubic
* ΔE to the lowest computed polymorph: 0.000 eV per atom

# 22
Computed, not measured: a relaxed structure of TbGdSn2 at the PBE level of DFT.

Cell: 3.3446 6.9089 6.9089 Å, 53.69 90.00 90.00°
Element x y z (fractional)
Gd 0.0000 0.3600 0.3600
Sn 0.0000 0.1144 0.1144
Sn 0.0000 0.8852 0.8852
Tb 0.0000 0.6405 0.6405

Properties
* magnetization: 0.020 μB per cell
* crystal system: orthorhombic

# 23
Computed, not measured: a relaxed structure of PrNdB2Pt2N2 at the PBE level of DFT.

Cell: 3.8144 3.8144 7.7724 Å, 90.00 90.00 90.00°
Element x y z (fractional)
B 0.0000 0.0000 0.3344
B 0.5000 0.5000 0.6650
N 0.0000 0.0000 0.1493
N 0.5000 0.5000 0.8500
Nd 0.0000 0.0000 0.8359
Pr 0.5000 0.5000 0.1641
Pt 0.5000 0.0000 0.5006
Pt 0.0000 0.5000 0.5006

Properties
* magnetization: 0.002 μB per cell
* crystal system: tetragonal

# 24
Computed, not measured: a relaxed structure of ErPIrO at the PBE level of DFT.

Cell: 3.3748 7.4227 5.3258 Å, 90.00 90.00 90.00°
Element x y z (fractional)
Er 0.0000 0.7865 0.4685
Er 0.0000 0.2135 0.9685
Ir 0.5000 0.2164 0.4549
Ir 0.5000 0.7836 0.9549
O 0.5000 0.9434 0.3671
O 0.5000 0.0566 0.8671
P 0.0000 0.4184 0.4635
P 0.0000 0.5816 0.9635

Properties
* magnetization: 0.002 μB per cell
* crystal system: orthorhombic
* ΔE to the lowest computed polymorph: 0.672 eV per atom

Computed values of calculated density (unit: g/cm3) for the preceding records, in sequence: 7.15 9.77 8.08 10.52 10.30 8.48 7.57 6.25 7.94 10.17 9.52 3.80 5.78 6.60 4.00 10.70 7.27 2.47 7.52 4.06 7.39 7.15 10.65 10.12.
Computed values of VASP energy (unit: eV/atom) for the preceding records, in sequence: -4.774 -6.469 -5.560 -5.929 -5.044 -4.825 -7.325 -3.137 -7.472 -6.721 -2.870 -2.332 -3.025 -3.994 -5.728 -4.916 -3.384 -3.383 -5.805 -4.345 -3.379 -4.257 -7.549 -7.252.